This record from Alexandria describes a relaxed CdTeRh2 crystal. The functional is PBE.

Cell and atoms, written as CIF:
```
data_CdTeRh2
_chemical_formula_sum 'Cd1 Te1 Rh2'
_symmetry_space_group_name_H-M 'P 1'
_symmetry_Int_Tables_number 1
_symmetry_space_group_name_Hall 'P 1'
_cell_length_a 4.420
_cell_length_b 4.420
_cell_length_c 5.635
_cell_angle_alpha 78.25
_cell_angle_beta 78.25
_cell_angle_gamma 43.75
loop_
_atom_site_label
_atom_site_fract_x
_atom_site_fract_y
_atom_site_fract_z
Cd1 0.000 0.000 0.500
Te1 0.500 0.500 0.000
Rh1 0.245 0.245 0.778
Rh2 0.755 0.755 0.222
```

**DOS(E_F)**: 2.8 states/eV per cell
**Excess energy over the best structure of this formula in the dataset**: 74 meV/atom
**Uncorrected formation energy**: -0.08 eV per formula unit
**Density**: 9.97 Mg/m³
**Size of the total moment**: 0.00 μB/f.u.
**Final energy**: -4.71 eV per atom

***

This record from Alexandria describes a relaxed MnPt2Au crystal. The functional is PBE.

Cell and atoms, written as CIF:
```
data_MnPt2Au
_chemical_formula_sum 'Mn1 Pt2 Au1'
_symmetry_space_group_name_H-M 'P 1'
_symmetry_Int_Tables_number 1
_symmetry_space_group_name_Hall 'P 1'
_cell_length_a 9.169
_cell_length_b 9.169
_cell_length_c 9.169
_cell_angle_alpha 17.91
_cell_angle_beta 17.91
_cell_angle_gamma 17.91
loop_
_atom_site_label
_atom_site_fract_x
_atom_site_fract_y
_atom_site_fract_z
Au1 0.496 0.496 0.496
Mn1 0.748 0.748 0.748
Pt1 0.005 0.005 0.005
Pt2 0.251 0.251 0.251
```

**Energy relative to the elements**: -0.069 eV per atom
**DOS(E_F)**: 3.2 states/eV per cell
**Density**: 16.75 Mg/m³
**Size of the total moment**: 4.11 μB/f.u.
**Final energy**: -6.20 eV per atom